DFT (PBE) results for Cs5RbHg8 after structural relaxation.

Cell lengths 9.640, 9.640, 9.640 Å; angles 115.47, 115.47, 98.04 degrees
Fractional positions:
Cs: 0.000 0.000 0.000
Cs: 0.145 0.047 0.565
Cs: 0.420 0.855 0.902
Cs: 0.482 0.580 0.435
Cs: 0.953 0.518 0.098
Rb: 0.750 0.250 0.500
Hg: 0.129 0.410 0.498
Hg: 0.254 0.490 0.929
Hg: 0.369 0.871 0.281
Hg: 0.510 0.439 0.764
Hg: 0.561 0.325 0.071
Hg: 0.590 0.088 0.719
Hg: 0.675 0.746 0.236
Hg: 0.912 0.631 0.502

space group: I-4, No. 82
ΔE_f: -0.20 eV/atom
D(E_F): 0.6664 states/eV/atom

---

DFT (PBE) results for CaPtN2F after structural relaxation.

Cell lengths 4.634, 4.634, 4.061 Å; angles 90.00, 90.00, 90.00 degrees
Fractional positions:
Ca: 0.000 0.000 0.000
Pt: 0.500 0.500 0.500
N: 0.000 0.500 0.000
N: 0.500 0.000 0.000
F: 0.000 0.000 0.500

space group: P4/mmm, No. 123
D(E_F): 1.0895 states/eV/atom
formation energy (no corrections): 1.075 eV per atom

---

DFT (PBE) results for LiMgMo2Br after structural relaxation.

Cell lengths 4.669, 4.669, 5.064 Å; angles 90.00, 90.00, 90.00 degrees
Fractional positions:
Li: 0.000 0.000 0.000
Mg: 0.500 0.500 0.000
Mo: 0.000 0.500 0.500
Mo: 0.500 0.000 0.500
Br: 0.500 0.500 0.500

space group: P4/mmm, No. 123
D(E_F): 0.9333 states/eV/atom
formation energy (no corrections): 1.344 eV per atom

---

- Which value of D(E_F) does entry 3 give?
  0.9333 states/eV/atom

---

What did the second record say?
DFT (PBE) results for CaPtN2F after structural relaxation.

Cell lengths 4.634, 4.634, 4.061 Å; angles 90.00, 90.00, 90.00 degrees
Fractional positions:
Ca: 0.000 0.000 0.000
Pt: 0.500 0.500 0.500
N: 0.000 0.500 0.000
N: 0.500 0.000 0.000
F: 0.000 0.000 0.500

space group: P4/mmm, No. 123
D(E_F): 1.0895 states/eV/atom
formation energy (no corrections): 1.075 eV per atom